1.
The following is a PBE calculation of a geometry-optimized La3Pr2Tl2 structure, from the Alexandria database.

Output
The energy relative to the lowest polymorph listed for this composition comes out at 42.2 meV per atom. Its formation energy is -173 meV per atom. As for the total magnetic moment: 0.00 μB per cell. The value obtained for the total DFT energy (no corrections) is -4.3267 eV per atom.

Lattice parameters (Å, degrees): 3.788 5.483 22.848 90.00 90.00 90.00
Space group Immm (No. 71)
Unique sites:
La1 0.000 0.000 0.000 [2 per cell]
La2 0.000 0.500 0.201 [4 per cell]
Pr1 0.000 0.000 0.427 [4 per cell]
Tl1 0.000 0.500 0.352 [4 per cell]

=====

2.
The following is a PBE calculation of a geometry-optimized LaPr4Tl2 structure, from the Alexandria database.

Output
The energy relative to the lowest polymorph listed for this composition comes out at 55.1 meV per atom. Its formation energy is -156 meV per atom. As for the total magnetic moment: 0.00 μB per cell. The value obtained for the total DFT energy (no corrections) is -4.2667 eV per atom.

Lattice parameters (Å, degrees): 8.437 6.784 9.116 90.00 116.16 90.00
Space group P2_1/m (No. 11)
Unique sites:
La1 0.105 0.250 0.341 [2 per cell]
Pr1 0.180 0.750 0.095 [2 per cell]
Pr2 0.339 0.005 0.777 [4 per cell]
Pr3 0.467 0.750 0.505 [2 per cell]
Tl1 0.052 0.750 0.393 [2 per cell]
Tl2 0.265 0.250 0.065 [2 per cell]

=====

3.
The following is a PBE calculation of a geometry-optimized LaPr5Tl5 structure, from the Alexandria database.

Output
Its formation energy is -156 meV per atom. As for the total magnetic moment: 0.81 μB per cell. The value obtained for the total DFT energy (no corrections) is -3.8519 eV per atom.

Lattice parameters (Å, degrees): 16.871 6.184 7.239 90.00 97.55 90.00
Space group C2/m (No. 12)
Unique sites:
La1 0.000 0.000 0.000 [2 per cell]
Pr1 0.000 0.000 0.500 [2 per cell]
Pr2 0.141 0.500 0.410 [4 per cell]
Pr3 0.180 0.500 0.919 [4 per cell]
Tl1 0.000 0.500 0.000 [2 per cell]
Tl2 0.167 0.000 0.287 [4 per cell]
Tl3 0.174 0.000 0.731 [4 per cell]

=====

4.
The following is a PBE calculation of a geometry-optimized La2PrTl structure, from the Alexandria database.

Output
The energy relative to the lowest polymorph listed for this composition comes out at 0.0 meV per atom. Its formation energy is -233 meV per atom. As for the total magnetic moment: 0.00 μB per cell. The value obtained for the total DFT energy (no corrections) is -4.4829 eV per atom.

Lattice parameters (Å, degrees): 5.021 5.021 5.123 90.00 90.00 90.00
Space group P4/mmm (No. 123)
Unique sites:
La1 0.000 0.500 0.000 [2 per cell]
Pr1 0.000 0.000 0.500 [1 per cell]
Tl1 0.500 0.500 0.500 [1 per cell]

=====

What did the third record say?
The following is a PBE calculation of a geometry-optimized LaPr5Tl5 structure, from the Alexandria database.

Output
Its formation energy is -156 meV per atom. As for the total magnetic moment: 0.81 μB per cell. The value obtained for the total DFT energy (no corrections) is -3.8519 eV per atom.

Lattice parameters (Å, degrees): 16.871 6.184 7.239 90.00 97.55 90.00
Space group C2/m (No. 12)
Unique sites:
La1 0.000 0.000 0.000 [2 per cell]
Pr1 0.000 0.000 0.500 [2 per cell]
Pr2 0.141 0.500 0.410 [4 per cell]
Pr3 0.180 0.500 0.919 [4 per cell]
Tl1 0.000 0.500 0.000 [2 per cell]
Tl2 0.167 0.000 0.287 [4 per cell]
Tl3 0.174 0.000 0.731 [4 per cell]

=====

What is the formula in the third record?
LaPr5Tl5